Computed, not measured: a relaxed structure of BaNaCuPb at the PBE level of DFT.

Summary:
- Energy of formation from the pure elements: -0.097 eV per atom
- Total moment: 0.00 Bohr magnetons per cell

a = 7.5844 Å, b = 7.5844 Å, c = 7.5844 Å
α = 90.00°, β = 90.00°, γ = 90.00°
Last column: nearest neighbours and their distance in Å.
Positions (direct):
Ba  0.0000  0.0000  0.0000  4 Na 3.28, 4 Cu 3.28
Ba  0.0000  0.5000  0.5000  4 Na 3.28, 4 Cu 3.28
Ba  0.5000  0.0000  0.5000  4 Na 3.28, 4 Cu 3.28
Ba  0.5000  0.5000  0.0000  4 Na 3.28, 4 Cu 3.28
Na  0.2500  0.2500  0.2500  4 Ba 3.28, 4 Pb 3.28
Na  0.2500  0.7500  0.7500  4 Ba 3.28, 4 Pb 3.28
Na  0.7500  0.2500  0.7500  4 Ba 3.28, 4 Pb 3.28
Na  0.7500  0.7500  0.2500  4 Ba 3.28, 4 Pb 3.28
Cu  0.2500  0.2500  0.7500  4 Pb 3.28, 4 Ba 3.28
Cu  0.2500  0.7500  0.2500  4 Pb 3.28, 4 Ba 3.28
Cu  0.7500  0.2500  0.2500  4 Pb 3.28, 4 Ba 3.28
Cu  0.7500  0.7500  0.7500  4 Pb 3.28, 4 Ba 3.28
Pb  0.0000  0.0000  0.5000  4 Na 3.28, 4 Cu 3.28
Pb  0.0000  0.5000  0.0000  4 Na 3.28, 4 Cu 3.28
Pb  0.5000  0.0000  0.0000  4 Na 3.28, 4 Cu 3.28
Pb  0.5000  0.5000  0.5000  4 Na 3.28, 4 Cu 3.28